[1]
The following is a DFT calculation (PBE-GGA) of a relaxed structure of LaS4Br.

symmetry = P-1, No. 2
E_form (uncorrected) = -0.950 eV/atom
energy = -4.80 eV/atom

```
LaS4Br
1.0
4.718 0.000 0.000
0.099 5.886 0.000
0.529 0.896 12.587
La S Br
2 8 2
direct
0.241 0.384 0.248
0.759 0.616 0.752
0.026 0.764 0.936
0.117 0.442 0.570
0.213 0.476 0.894
0.250 0.746 0.619
0.750 0.254 0.381
0.787 0.524 0.106
0.883 0.558 0.430
0.974 0.236 0.064
0.405 0.882 0.250
0.595 0.118 0.750
```

[2]
The following is a DFT calculation (PBE-GGA) of a relaxed structure of LaS8Br2.

symmetry = C2/m, No. 12
E_form (uncorrected) = -0.382 eV/atom
energy = -4.14 eV/atom

```
LaS8Br2
1.0
3.881 -6.758 0.000
3.881 6.758 0.000
-1.545 0.000 8.731
La S Br
1 8 2
direct
0.000 0.000 0.000
0.119 0.692 0.062
0.254 0.254 0.778
0.308 0.881 0.938
0.499 0.499 0.884
0.501 0.501 0.116
0.692 0.119 0.062
0.746 0.746 0.222
0.881 0.308 0.938
0.164 0.164 0.314
0.836 0.836 0.686
```

[3]
The following is a DFT calculation (PBE-GGA) of a relaxed structure of La2SBr.

symmetry = I-42d, No. 122
E_form (uncorrected) = -1.261 eV/atom
energy = -5.18 eV/atom

```
La2SBr
1.0
6.734 0.000 0.000
0.000 6.734 0.000
0.000 0.000 13.317
La S Br
8 4 4
direct
0.217 0.250 0.125
0.250 0.717 0.375
0.250 0.783 0.875
0.283 0.250 0.625
0.717 0.750 0.625
0.750 0.217 0.875
0.750 0.283 0.375
0.783 0.750 0.125
0.000 0.000 0.000
0.000 0.500 0.250
0.500 0.000 0.750
0.500 0.500 0.500
0.000 0.000 0.500
0.000 0.500 0.750
0.500 0.000 0.250
0.500 0.500 0.000
```

[4]
The following is a DFT calculation (PBE-GGA) of a relaxed structure of La4S5Br.

symmetry = Pmmn, No. 59
E_form (uncorrected) = -1.951 eV/atom
energy = -6.15 eV/atom

```
La4S5Br
1.0
9.120 0.000 0.000
0.000 9.832 0.000
0.000 0.000 7.014
La S Br
8 10 2
direct
0.020 0.250 0.016
0.250 0.025 0.510
0.250 0.475 0.510
0.480 0.250 0.016
0.520 0.750 0.984
0.750 0.525 0.490
0.750 0.975 0.490
0.980 0.750 0.984
0.010 0.540 0.250
0.010 0.960 0.250
0.250 0.250 0.272
0.490 0.540 0.250
0.490 0.960 0.250
0.510 0.040 0.750
0.510 0.460 0.750
0.750 0.750 0.728
0.990 0.040 0.750
0.990 0.460 0.750
0.250 0.750 0.722
0.750 0.250 0.278
```

[5]
The following is a DFT calculation (PBE-GGA) of a relaxed structure of LaSBr2.

symmetry = Fm-3m, No. 225
E_form (uncorrected) = -1.080 eV/atom
energy = -4.18 eV/atom

```
LaSBr2
1.0
7.414 0.000 0.000
0.000 7.414 0.000
0.000 0.000 7.414
La S Br
4 4 8
direct
0.000 0.000 0.000
0.000 0.500 0.500
0.500 0.000 0.500
0.500 0.500 0.000
0.000 0.000 0.500
0.000 0.500 0.000
0.500 0.000 0.000
0.500 0.500 0.500
0.250 0.250 0.250
0.250 0.250 0.750
0.250 0.750 0.250
0.250 0.750 0.750
0.750 0.250 0.250
0.750 0.250 0.750
0.750 0.750 0.250
0.750 0.750 0.750
```

[6]
The following is a DFT calculation (PBE-GGA) of a relaxed structure of La2SBr.

symmetry = R3m, No. 160
E_form (uncorrected) = -1.715 eV/atom
energy = -5.63 eV/atom

```
La2SBr
1.0
4.069 0.000 0.000
-2.034 3.524 0.000
0.000 0.000 23.322
La S Br
6 3 3
direct
0.000 0.000 0.000
0.000 0.000 0.195
0.333 0.667 0.667
0.333 0.667 0.861
0.667 0.333 0.333
0.667 0.333 0.528
0.000 0.000 0.597
0.333 0.667 0.263
0.667 0.333 0.930
0.000 0.000 0.429
0.333 0.667 0.095
0.667 0.333 0.762
```

[7]
The following is a DFT calculation (PBE-GGA) of a relaxed structure of LaS2Br.

symmetry = I-42d, No. 122
E_form (uncorrected) = -1.275 eV/atom
energy = -4.99 eV/atom

```
LaS2Br
1.0
4.630 0.000 0.000
0.000 4.630 0.000
0.000 0.000 20.721
La S Br
4 8 4
direct
0.000 0.000 0.000
0.000 0.500 0.250
0.500 0.000 0.750
0.500 0.500 0.500
0.062 0.250 0.125
0.250 0.562 0.375
0.250 0.938 0.875
0.438 0.250 0.625
0.562 0.750 0.625
0.750 0.062 0.875
0.750 0.438 0.375
0.938 0.750 0.125
0.000 0.000 0.500
0.000 0.500 0.750
0.500 0.000 0.250
0.500 0.500 0.000
```

[8]
The following is a DFT calculation (PBE-GGA) of a relaxed structure of LaSBr2.

symmetry = R-3m, No. 166
E_form (uncorrected) = -0.696 eV/atom
energy = -3.80 eV/atom

```
LaSBr2
1.0
4.199 0.000 0.000
-2.099 3.636 0.000
0.000 0.000 29.588
La S Br
3 3 6
direct
0.000 0.000 0.000
0.333 0.667 0.667
0.667 0.333 0.333
0.000 0.000 0.500
0.333 0.667 0.167
0.667 0.333 0.833
0.000 0.000 0.394
0.000 0.000 0.606
0.333 0.667 0.061
0.333 0.667 0.273
0.667 0.333 0.727
0.667 0.333 0.939
```